Run a
5
Lattice="4.069 0.000 0.000 0.000 4.069 0.000 0.000 0.000 4.069" Properties=species:S:1:pos:R:3 comment="PBE+U VRe3O, relaxed" magnetic_moment_mub_per_cell=0.01 n_ef_per_ev_cell=4.3 pbc="T T T"
V 0.000 0.000 0.000
Re 0.000 2.034 2.034
Re 2.034 0.000 2.034
Re 2.034 2.034 0.000
O 2.034 2.034 2.034


Run b
5
Lattice="4.519 0.000 0.000 0.000 4.519 0.000 0.000 0.000 4.519" Properties=species:S:1:pos:R:3 comment="PBE+U VRe3O, relaxed" magnetic_moment_mub_per_cell=2.49 n_ef_per_ev_cell=6.3 pbc="T T T"
V 0.000 0.000 0.000
Re 0.000 0.000 2.260
Re 0.000 2.260 0.000
Re 2.260 0.000 0.000
O 2.260 2.260 2.260


The data favor run a; the next most stable structure lies 2240 meV/atom above it.


Run a
30
Lattice="3.562 -6.490 0.000 3.562 6.490 0.000 0.000 0.000 9.146" Properties=species:S:1:pos:R:3 comment="PBE+U V2Re2O11, relaxed" magnetic_moment_mub_per_cell=4.00 pbc="T T T"
V 3.562 5.655 4.573
V 3.562 2.915 6.647
V 3.562 -2.915 2.074
V 3.562 -5.655 0.000
Re 3.562 3.854 1.283
Re 3.562 0.017 4.879
Re 3.562 -0.017 0.306
Re 3.562 -3.854 5.857
O 1.879 2.629 5.836
O 3.562 5.506 0.319
O 3.562 4.745 6.009
O 3.562 4.554 2.962
O 2.014 0.741 8.964
O 3.562 3.206 8.307
O 3.562 2.093 1.503
O 2.014 -0.741 4.391
O 3.562 1.460 3.959
O 3.562 0.702 6.515
O 1.879 -2.629 1.263
O 5.246 2.629 5.836
O 3.562 -0.702 1.942
O 3.562 -1.460 8.532
O 5.111 0.741 8.964
O 3.562 -2.093 6.076
O 3.562 -3.206 3.733
O 5.111 -0.741 4.391
O 3.562 -4.554 7.535
O 3.562 -4.745 1.435
O 3.562 -5.506 4.892
O 5.246 -2.629 1.263


Run b
30
Lattice="3.419 -9.043 0.000 3.419 9.043 0.000 0.000 0.000 7.740" Properties=species:S:1:pos:R:3 comment="PBE+U V2Re2O11, relaxed" magnetic_moment_mub_per_cell=4.00 n_ef_per_ev_cell=0.4 pbc="T T T"
V 3.419 8.924 3.870
V 3.419 5.373 3.956
V 3.419 -5.373 0.086
V 3.419 -8.924 0.000
Re 3.419 5.242 0.024
Re 3.419 1.008 3.445
Re 3.419 -1.008 7.316
Re 3.419 -5.242 3.894
O 3.419 8.976 5.553
O 1.819 4.452 7.517
O 3.419 7.074 3.553
O 3.419 7.003 7.599
O 3.419 5.193 5.653
O 3.419 5.137 1.775
O 1.986 0.031 7.450
O 1.986 -0.031 3.580
O 3.419 2.198 4.701
O 3.419 1.832 1.926
O 5.020 4.452 7.517
O 1.819 -4.452 3.647
O 3.419 -1.832 5.796
O 3.419 -2.198 0.830
O 4.852 0.031 7.450
O 4.852 -0.031 3.580
O 3.419 -5.137 5.646
O 3.419 -5.193 1.783
O 3.419 -7.003 3.729
O 3.419 -7.074 7.423
O 5.020 -4.452 3.647
O 3.419 -8.976 1.683


The data favor run b; the next most stable structure lies 43 meV/atom above it.